# LiPrDy2Cd4

Crystalline LiPrDy2Cd4 at its relaxed geometry (GGA-PBE, the Alexandria database).

Computed properties:
Crystal system ... trigonal
Electronic total energy ... -0.1990 Ry per atom
Fermi-level density of states ... 7.56 states/eV/f.u.
Magnetization ... 0.000 μB/atom

a = 5.2168 Å, b = 5.2168 Å, c = 9.2292 Å
α = 73.58°, β = 73.58°, γ = 60.00°
Positions (direct):
Li  0.5000  0.5000  0.5000
Pr  0.0000  0.0000  0.0000
Dy  0.7535  0.7535  0.7394
Dy  0.2465  0.2465  0.2606
Cd  0.3845  0.3845  0.8464
Cd  0.8725  0.8725  0.3824
Cd  0.1275  0.1275  0.6176
Cd  0.6155  0.6155  0.1536